Entry 1:
A plane-wave DFT calculation with PBE was carried out for a relaxed CsNi3P5 crystal.

abc: 4.9253 4.9253 8.4221
angles: 90.00 90.00 120.00
With the nearest neighbours (Å) after each atom.
Element x y z (fractional)
Cs: 0.0000 0.0000 0.0000  12 P 3.73
Ni: 0.0000 0.5000 0.5000  6 P 2.30-2.46, 4 Ni 2.46
Ni: 0.5000 0.0000 0.5000  6 P 2.30-2.46, 4 Ni 2.46
Ni: 0.5000 0.5000 0.5000  6 P 2.30-2.46, 4 Ni 2.46
P: 0.0000 0.0000 0.5000  6 Ni 2.46
P: 0.3333 0.6667 0.2859  3 Ni 2.30
P: 0.3333 0.6667 0.7141  3 Ni 2.30
P: 0.6667 0.3333 0.2859  3 Ni 2.30
P: 0.6667 0.3333 0.7141  3 Ni 2.30

Values from the calculation:
Raw total energy ... -0.375 Ry/atom
Space-group type ... P6/mmm

Entry 2:
A plane-wave DFT calculation with PBE was carried out for a relaxed CsNiPS3 crystal.

abc: 7.5754 7.5754 10.0543
angles: 90.00 90.00 150.47
With the nearest neighbours (Å) after each atom.
Element x y z (fractional)
Cs: 0.2278 0.7722 0.7500  6 S 3.42-3.79, 2 Ni 3.55
Cs: 0.7722 0.2278 0.2500  6 S 3.42-3.79, 2 Ni 3.55
Ni: 0.0689 0.9311 0.2500  4 S 2.15-2.20
Ni: 0.9311 0.0689 0.7500  4 S 2.15-2.20
P: 0.5000 0.5000 0.0000  6 S 2.49-2.51
P: 0.5000 0.5000 0.5000  6 S 2.49-2.51
S: 0.1039 0.8961 0.0377  1 Ni 2.20
S: 0.1039 0.8961 0.4623  1 Ni 2.20
S: 0.4952 0.5048 0.7500  2 Ni 2.15
S: 0.5048 0.4952 0.2500  2 Ni 2.15
S: 0.8961 0.1039 0.5377  1 Ni 2.20
S: 0.8961 0.1039 0.9623  1 Ni 2.20

Values from the calculation:
Raw total energy ... -0.322 Ry/atom
Space-group type ... Cmcm

Entry 3:
A plane-wave DFT calculation with PBE was carried out for a relaxed CsNiPS4 crystal.

abc: 8.4611 8.4611 8.4611
angles: 119.75 119.75 90.43
With the nearest neighbours (Å) after each atom.
Element x y z (fractional)
Cs: 0.2500 0.2500 0.0000  8 S 3.62
Cs: 0.7500 0.7500 0.0000  8 S 3.62
Ni: 0.0000 0.5000 0.5000  4 S 2.20
Ni: 0.5000 0.0000 0.5000  4 S 2.20
P: 0.2500 0.7500 0.5000  4 S 2.06
P: 0.7500 0.2500 0.5000  4 S 2.06
S: 0.0069 0.5069 0.2464  1 P 2.06, 1 Ni 2.20
S: 0.2395 0.9931 0.5000  1 P 2.06, 1 Ni 2.20
S: 0.2605 0.7605 0.7536  1 P 2.06, 1 Ni 2.20
S: 0.4931 0.7395 0.5000  1 P 2.06, 1 Ni 2.20
S: 0.5069 0.2605 0.5000  1 P 2.06, 1 Ni 2.20
S: 0.7395 0.2395 0.2464  1 P 2.06, 1 Ni 2.20
S: 0.7605 0.0069 0.5000  1 P 2.06, 1 Ni 2.20
S: 0.9931 0.4931 0.7536  1 P 2.06, 1 Ni 2.20

Values from the calculation:
Raw total energy ... -0.345 Ry/atom
Space-group type ... I4/mcm

Entry 4:
A plane-wave DFT calculation with PBE was carried out for a relaxed Cs2SrNiP2 crystal.

abc: 4.6777 4.6777 11.0957
angles: 90.00 90.00 90.00
With the nearest neighbours (Å) after each atom.
Element x y z (fractional)
Cs: 0.0000 0.5000 0.2255  4 P 3.64, 2 Ni 3.84, 2 Sr 3.84
Cs: 0.5000 0.0000 0.7745  4 P 3.64, 2 Ni 3.84, 2 Sr 3.84
Sr: 0.5000 0.5000 0.5000  4 P 2.80
Ni: 0.0000 0.0000 0.5000  4 P 2.80
P: 0.0000 0.5000 0.6381  2 Ni 2.80, 2 Sr 2.80
P: 0.5000 0.0000 0.3619  2 Ni 2.80, 2 Sr 2.80

Values from the calculation:
Raw total energy ... -0.254 Ry/atom
Space-group type ... P-4m2

Entry 5:
A plane-wave DFT calculation with PBE was carried out for a relaxed Cs2Ni2Pb crystal.

abc: 7.0358 12.2054 4.5161
angles: 90.00 90.00 90.00
With the nearest neighbours (Å) after each atom.
Element x y z (fractional)
Cs: 0.0267 0.1648 0.0000  4 Ni 3.85-3.97, 3 Pb 3.89-4.22, 3 Cs 4.04-4.09
Cs: 0.4733 0.6648 0.0000  4 Ni 3.85-3.97, 3 Pb 3.89-4.22, 3 Cs 4.04-4.09
Cs: 0.5267 0.3352 0.0000  4 Ni 3.85-3.97, 3 Pb 3.89-4.22, 3 Cs 4.04-4.09
Cs: 0.9733 0.8352 0.0000  4 Ni 3.85-3.97, 3 Pb 3.89-4.22, 3 Cs 4.04-4.09
Ni: 0.1133 0.4279 0.5000  1 Ni 2.38, 2 Pb 2.55
Ni: 0.3867 0.9279 0.5000  1 Ni 2.38, 2 Pb 2.55
Ni: 0.6133 0.0721 0.5000  1 Ni 2.38, 2 Pb 2.55
Ni: 0.8867 0.5721 0.5000  1 Ni 2.38, 2 Pb 2.55
Pb: 0.0000 0.5000 0.0000  4 Ni 2.55
Pb: 0.5000 0.0000 0.0000  4 Ni 2.55

Values from the calculation:
Raw total energy ... -0.211 Ry/atom
Space-group type ... Pbam

Entry 6:
A plane-wave DFT calculation with PBE was carried out for a relaxed CsNiPb crystal.

abc: 5.2464 5.2464 5.2464
angles: 60.00 60.00 60.00
With the nearest neighbours (Å) after each atom.
Element x y z (fractional)
Cs: 0.0000 0.0000 0.0000  4 Ni 3.21
Ni: 0.2500 0.2500 0.2500  4 Pb 3.21, 4 Cs 3.21
Pb: 0.5000 0.5000 0.5000  4 Ni 3.21

Values from the calculation:
Space-group type ... F-43m
Energy above the lowest structure with this stoichiometry ... 0 meV per atom

Entry 7:
A plane-wave DFT calculation with PBE was carried out for a relaxed CsNiPb crystal.

abc: 5.5727 5.5727 5.5727
angles: 60.00 60.00 60.00
With the nearest neighbours (Å) after each atom.
Element x y z (fractional)
Cs: 0.0000 0.0000 0.0000  4 Pb 3.41, 4 Ni 3.41
Ni: 0.7500 0.7500 0.7500  4 Cs 3.41
Pb: 0.2500 0.2500 0.2500  4 Cs 3.41

Values from the calculation:
Space-group type ... F-43m
Energy above the lowest structure with this stoichiometry ... 680 meV per atom

Entry 8:
A plane-wave DFT calculation with PBE was carried out for a relaxed Cs2Ni2PdS4 crystal.

abc: 8.9840 7.8719 6.0841
angles: 79.00 59.33 41.67
With the nearest neighbours (Å) after each atom.
Element x y z (fractional)
Cs: 0.1606 0.1606 0.8394  6 S 3.51-3.67, 2 Pd 3.82, 4 Ni 3.83
Cs: 0.8394 0.8394 0.1606  6 S 3.51-3.67, 2 Pd 3.82, 4 Ni 3.83
Ni: 0.0000 0.0000 0.5000  4 S 2.22
Ni: 0.5000 0.5000 0.0000  4 S 2.22
Pd: 0.5000 0.5000 0.5000  4 S 2.37
S: 0.2223 0.5790 0.4210  2 Ni 2.22, 1 Pd 2.37
S: 0.4210 0.7777 0.2223  2 Ni 2.22, 1 Pd 2.37
S: 0.5790 0.2223 0.7777  2 Ni 2.22, 1 Pd 2.37
S: 0.7777 0.4210 0.5790  2 Ni 2.22, 1 Pd 2.37

Values from the calculation:
Raw total energy ... -0.337 Ry/atom
Space-group type ... Fmmm

Entry 9:
A plane-wave DFT calculation with PBE was carried out for a relaxed CsPmNi crystal.

abc: 5.0974 5.0974 5.0974
angles: 60.00 60.00 60.00
With the nearest neighbours (Å) after each atom.
Element x y z (fractional)
Cs: 0.0000 0.0000 0.0000  4 Pm 3.12
Pm: 0.2500 0.2500 0.2500  4 Ni 3.12, 4 Cs 3.12
Ni: 0.5000 0.5000 0.5000  4 Pm 3.12

Values from the calculation:
Raw total energy ... -0.204 Ry/atom
Space-group type ... F-43m

Entry 10:
A plane-wave DFT calculation with PBE was carried out for a relaxed Cs2Pm5Ni crystal.

abc: 7.7038 7.7038 5.9655
angles: 90.00 90.00 90.00
With the nearest neighbours (Å) after each atom.
Element x y z (fractional)
Cs: 0.0000 0.5000 0.0000  10 Pm 3.85-4.04
Cs: 0.5000 0.0000 0.0000  10 Pm 3.85-4.04
Pm: 0.0000 0.0000 0.0000  2 Ni 2.98
Pm: 0.2434 0.2434 0.5000  1 Ni 2.65
Pm: 0.2434 0.7566 0.5000  1 Ni 2.65
Pm: 0.7566 0.2434 0.5000  1 Ni 2.65
Pm: 0.7566 0.7566 0.5000  1 Ni 2.65
Ni: 0.0000 0.0000 0.5000  4 Pm 2.65

Values from the calculation:
Raw total energy ... -0.246 Ry/atom
Space-group type ... P4/mmm

Entry 11:
A plane-wave DFT calculation with PBE was carried out for a relaxed CsPrNi crystal.

abc: 5.1290 5.1290 5.1290
angles: 60.00 60.00 60.00
With the nearest neighbours (Å) after each atom.
Element x y z (fractional)
Cs: 0.0000 0.0000 0.0000  4 Pr 3.14
Pr: 0.7500 0.7500 0.7500  4 Cs 3.14, 4 Ni 3.14
Ni: 0.5000 0.5000 0.5000  4 Pr 3.14

Values from the calculation:
Space-group type ... F-43m
Energy above the lowest structure with this stoichiometry ... 0 meV per atom

Entry 12:
A plane-wave DFT calculation with PBE was carried out for a relaxed CsPrNi crystal.

abc: 5.0186 5.0186 5.0186
angles: 60.00 60.00 60.00
With the nearest neighbours (Å) after each atom.
Element x y z (fractional)
Cs: 0.0000 0.0000 0.0000  4 Pr 3.07, 4 Ni 3.07
Pr: 0.7500 0.7500 0.7500  4 Cs 3.07
Ni: 0.2500 0.2500 0.2500  4 Cs 3.07

Values from the calculation:
Space-group type ... F-43m
Energy above the lowest structure with this stoichiometry ... 251 meV per atom